Density functional theory data (PBE) for a relaxed structure of PrAl3Ni2.

Geometry as POSCAR:
```
PrAl3Ni2
1.0
5.387 0.000 0.000
-2.693 4.665 0.000
0.000 0.000 4.009
Pr Al Ni
1 3 2
Cartesian
0.000 0.000 0.000
-1.347 2.333 2.004
2.693 0.000 2.004
1.347 2.333 2.004
0.000 3.110 0.000
2.693 1.555 0.000
```

Computed properties:
Total magnetization   0.00 μB/f.u.
Space-group type   P6/mmm
Excess energy over the best structure of this formula in the dataset   26.5 meV/atom
DFT formation energy   -596 meV/atom
Total DFT energy (no corrections)   -0.3815 Ry per atom